Compound: Ti2Tl5Cl12
Source: the Alexandria database
Functional: PBE
Structure: optimized geometry

a b c (Å): 17.3866 7.3300 10.6277
angles (deg): 90.00 105.49 90.00
Space group C2/m (No. 12)
One atom of each set of equivalent atoms:
Ti1 0.0000 0.2373 0.0000
Tl1 0.0000 0.0000 0.5000
Tl2 0.1852 0.5000 0.7936
Tl3 0.1984 0.5000 0.3705
Cl1 0.0004 0.0000 0.1632
Cl2 0.0001 0.5000 0.1524
Cl3 0.1365 0.2446 0.0590
Cl4 0.1529 0.2497 0.5746

raw formation energy = -121.02 kJ per mole of atoms


Compound: TiTlCl4
Source: the Alexandria database
Functional: PBE
Structure: optimized geometry

a b c (Å): 9.2102 9.2102 4.8985
angles (deg): 90.00 90.00 90.00
Space group P4/nmm (No. 129, origin choice 2)
One atom of each set of equivalent atoms:
Ti1 0.2500 0.7500 0.0000
Tl1 0.2500 0.2500 0.1541
Cl1 0.0341 0.7500 0.2286

density of states at the Fermi level = 7.4 states/eV/cell
raw formation energy = -127.18 kJ per mole of atoms
energy above the lowest structure with this stoichiometry = 0.30 eV/f.u.


Compound: Ti2TlCl
Source: the Alexandria database
Functional: PBE
Structure: optimized geometry

a b c (Å): 6.7348 6.7348 6.7348
angles (deg): 90.00 90.00 90.00
Space group Fm-3m (No. 225)
One atom of each set of equivalent atoms:
Ti1 0.2500 0.2500 0.2500
Tl1 0.0000 0.0000 0.0000
Cl1 0.0000 0.0000 0.5000

density of states at the Fermi level = 11.4 states/eV/cell
raw formation energy = 13.63 kJ per mole of atoms
energy above the lowest structure with this stoichiometry = 0.00 eV/f.u.


Compound: TiTl6Cl12
Source: the Alexandria database
Functional: PBE
Structure: optimized geometry

a b c (Å): 12.2294 12.2294 15.1366
angles (deg): 90.00 90.00 120.00
Space group R-3 (No. 148, hexagonal axes)
One atom of each set of equivalent atoms:
Ti1 0.0000 0.0000 0.0000
Tl1 0.0425 0.2863 0.6008
Cl1 0.0342 0.2277 0.4004
Cl2 0.0849 0.9028 0.9095

density of states at the Fermi level = 55.2 states/eV/cell
raw formation energy = -98.91 kJ per mole of atoms


For the records above, the corresponding calculated total energy values read -3.87 -4.26 -4.86 -3.35 eV/atom.